Computed, not measured: a relaxed structure of Pr7Zn2Cu2 at the PBE level of DFT.

Unit cell a=6.851 b=6.851 c=7.419 alpha=90.00 beta=90.00 gamma=110.59
Element x y z (fractional)
Pr: 0.000 0.000 0.000
Pr: 0.000 0.500 0.273
Pr: 0.000 0.500 0.727
Pr: 0.500 0.000 0.273
Pr: 0.500 0.000 0.727
Pr: 0.500 0.500 0.256
Pr: 0.500 0.500 0.744
Zn: 0.162 0.162 0.500
Zn: 0.838 0.838 0.500
Cu: 0.293 0.707 0.000
Cu: 0.707 0.293 0.000

Results
Symmetry: Cmmm, No. 65
Fermi-level density of states: 13.78 states/eV/cell
Calculated formation energy: 0.036 eV/atom